An optimized crystal structure of Hf3SeI, computed with PBE.

Properties
As for the density of states at the Fermi level: 4.72 states/eV/f.u. The calculation puts the total energy at -6.525 eV per atom. The calculation puts the total moment at 0.00 μB/atom.

a b c (Å): 5.016 5.016 5.016
angles (deg): 90.00 90.00 90.00
Space group Pm-3m (No. 221)
Asymmetric unit:
Hf (0.000, 0.000, 0.500) x3
Se (0.000, 0.000, 0.000) x1
I (0.500, 0.500, 0.500) x1



An optimized crystal structure of K4Nb2Pb, computed with PBE.

Properties
As for the density of states at the Fermi level: 7.51 states/eV/f.u. The calculation puts the total energy at -2.985 eV per atom. The calculation puts the total moment at 0.18 μB/atom.

a b c (Å): 6.887 6.887 16.603
angles (deg): 90.00 90.00 90.00
Space group I4/mmm (No. 139)
Asymmetric unit:
K (0.000, 0.000, 0.212) x4
K (0.000, 0.500, 0.000) x4
Nb (0.000, 0.000, 0.436) x4
Pb (0.000, 0.000, 0.000) x2



An optimized crystal structure of Au2SeBr, computed with PBE.

Properties
As for the density of states at the Fermi level: 5.66 states/eV/f.u. The calculation puts the total energy at -2.358 eV per atom. The calculation puts the total moment at 0.00 μB/atom.

a b c (Å): 6.980 6.980 6.980
angles (deg): 90.00 90.00 90.00
Space group Fm-3m (No. 225)
Asymmetric unit:
Au (0.250, 0.250, 0.250) x8
Se (0.000, 0.000, 0.000) x4
Br (0.000, 0.000, 0.500) x4



An optimized crystal structure of SrZrCu, computed with PBE.

Properties
As for the density of states at the Fermi level: 4.71 states/eV/f.u. The calculation puts the total energy at -4.141 eV per atom. The calculation puts the total moment at 0.00 μB/atom.

a b c (Å): 6.909 6.909 6.909
angles (deg): 90.00 90.00 90.00
Space group F-43m (No. 216)
Asymmetric unit:
Sr (0.000, 0.000, 0.000) x4
Zr (0.000, 0.000, 0.500) x4
Cu (0.250, 0.250, 0.250) x4



An optimized crystal structure of KTl2W, computed with PBE.

Properties
As for the density of states at the Fermi level: 0.41 states/eV/f.u. The calculation puts the total energy at -3.968 eV per atom. The calculation puts the total moment at 0.00 μB/atom.

a b c (Å): 3.2048 3.2048 32.4822
angles (deg): 90.00 90.00 120.00
Space group R-3m (No. 166, hexagonal axes)
Asymmetric unit:
K (0.0000, 0.0000, 0.0000) x3
Tl (0.0000, 0.0000, 0.2414) x6
W (0.0000, 0.0000, 0.5000) x3



An optimized crystal structure of NaPaHg2, computed with PBE.

Properties
As for the density of states at the Fermi level: 5.71 states/eV/f.u. The calculation puts the total energy at -2.864 eV per atom. The calculation puts the total moment at 0.35 μB/atom.

a b c (Å): 5.631 5.631 3.164
angles (deg): 90.00 90.00 90.00
Space group P4/mmm (No. 123)
Asymmetric unit:
Na (0.000, 0.000, 0.000) x1
Pa (0.500, 0.500, 0.000) x1
Hg (0.000, 0.500, 0.500) x2



An optimized crystal structure of Al2IrF2, computed with PBE.

Properties
As for the density of states at the Fermi level: 2.70 states/eV/f.u. The calculation puts the total energy at -5.348 eV per atom. The calculation puts the total moment at 0.04 μB/atom.

a b c (Å): 7.145 7.145 2.707
angles (deg): 90.00 90.00 90.00
Space group P4/mbm (No. 127)
Asymmetric unit:
Al (0.229, 0.271, 0.000) x4
Ir (0.000, 0.000, 0.500) x2
F (0.108, 0.392, 0.500) x4



An optimized crystal structure of PrCd4Cu, computed with PBE.

Properties
As for the density of states at the Fermi level: 3.19 states/eV/f.u. The calculation puts the total energy at -2.291 eV per atom. The calculation puts the total moment at 0.00 μB/atom.

a b c (Å): 8.331 4.326 7.551
angles (deg): 90.00 90.00 90.00
Space group Pmma (No. 51)
Asymmetric unit:
Pr (0.250, 0.000, 0.110) x2
Cd (0.000, 0.000, 0.500) x2
Cd (0.059, 0.500, 0.812) x4
Cd (0.250, 0.500, 0.441) x2
Cu (0.250, 0.000, 0.714) x2



Which value of total moment does entry 6 give? 0.35 μB/atom



Which value of total moment does entry 6 give? 0.35 μB/atom



What did the fifth record say?
An optimized crystal structure of KTl2W, computed with PBE.

Properties
As for the density of states at the Fermi level: 0.41 states/eV/f.u. The calculation puts the total energy at -3.968 eV per atom. The calculation puts the total moment at 0.00 μB/atom.

a b c (Å): 3.2048 3.2048 32.4822
angles (deg): 90.00 90.00 120.00
Space group R-3m (No. 166, hexagonal axes)
Asymmetric unit:
K (0.0000, 0.0000, 0.0000) x3
Tl (0.0000, 0.0000, 0.2414) x6
W (0.0000, 0.0000, 0.5000) x3